Density functional theory data (PBE-GGA) for a relaxed Y2PdCl2 crystal.

Computed properties:
ρ, Mg/m³: 5.02
Polymorph energy (0 for the lowest one), kJ/mol of atoms: 2.8

a b c (Å): 5.751 5.751 5.751
angles (deg): 126.99 126.99 78.27
Fractional coordinates of all 5 atoms:
Y 0.250 0.750 0.500
Y 0.750 0.250 0.500
Pd 0.000 0.000 0.000
Cl 0.340 0.340 0.000
Cl 0.660 0.660 0.000